(1)
KMn2Ag | PBE | optimized geometry

Summary:
Total energy, eV per atom: -4.6187
Polymorph energy (0 for the lowest one), eV/atom: 0.350
Magnetic moment, μB/f.u.: 8.517
Crystal system: cubic
Formation energy, eV/f.u.: 3.81

Structure (POSCAR):
```
KMn2Ag
1.0
0.000 3.513 3.513
3.513 0.000 3.513
3.513 3.513 0.000
K Mn Ag
1 2 1
direct
0.000 0.000 0.000
0.250 0.250 0.250
0.750 0.750 0.750
0.500 0.500 0.500
```

(2)
TaCdTe | PBE | optimized geometry

Summary:
Formation energy from raw total energies, eV/atom: 0.1603
Total energy, eV per atom: -5.1428
Polymorph energy (0 for the lowest one), eV/atom: 0.000
Magnetic moment, μB/f.u.: 0.000
Crystal system: trigonal

Structure (POSCAR):
```
TaCdTe
1.0
3.408 0.000 0.000
-1.704 2.951 0.000
0.000 0.000 7.118
Ta Cd Te
1 1 1
direct
0.000 0.000 0.000
0.333 0.667 0.682
0.667 0.333 0.270
```

(3)
PmNd8Ga6 | PBE | optimized geometry

Summary:
Total energy, eV per atom: -4.4255
Magnetic moment, μB/f.u.: 0.000
Crystal system: trigonal
Formation energy, eV/f.u.: -5.33

Structure (POSCAR):
```
PmNd8Ga6
1.0
4.448 2.568 6.330
-4.448 2.568 6.330
0.000 -5.136 6.330
Pm Nd Ga
1 8 6
direct
0.000 0.000 0.000
0.113 0.448 0.780
0.220 0.887 0.552
0.334 0.334 0.334
0.448 0.780 0.113
0.552 0.220 0.887
0.666 0.666 0.666
0.780 0.113 0.448
0.887 0.552 0.220
0.056 0.724 0.387
0.276 0.613 0.944
0.387 0.056 0.724
0.613 0.944 0.276
0.724 0.387 0.056
0.944 0.276 0.613
```

(4)
LiSi2Pd2 | PBE | optimized geometry

Summary:
Formation energy from raw total energies, eV/atom: -0.5240
Total energy, eV per atom: -5.1531
Magnetic moment, μB/f.u.: 0.000
Crystal system: tetragonal

Structure (POSCAR):
```
LiSi2Pd2
1.0
-2.042 2.042 4.923
2.042 -2.042 4.923
2.042 2.042 -4.923
Li Si Pd
1 2 2
direct
0.000 0.000 0.000
0.384 0.384 0.000
0.616 0.616 0.000
0.250 0.750 0.500
0.750 0.250 0.500
```

(5)
NaSr2PbF8 | PBE | optimized geometry

Summary:
Formation energy from raw total energies, eV/atom: -3.0990
Total energy, eV per atom: -5.0458
Magnetic moment, μB/f.u.: 0.000
Crystal system: orthorhombic

Structure (POSCAR):
```
NaSr2PbF8
1.0
4.119 0.000 0.000
0.000 5.724 0.000
0.000 0.000 8.197
Na Sr Pb F
1 2 1 8
direct
0.000 0.000 0.000
0.500 0.500 0.236
0.500 0.500 0.764
0.000 0.000 0.500
0.000 0.248 0.273
0.000 0.248 0.727
0.000 0.752 0.273
0.000 0.752 0.727
0.500 0.229 0.500
0.500 0.251 0.000
0.500 0.749 0.000
0.500 0.771 0.500
```

(6)
Li2SiSnS | PBE | optimized geometry

Summary:
Formation energy from raw total energies, eV/atom: 0.4860
Total energy, eV per atom: -2.9902
Magnetic moment, μB/f.u.: 0.000
Crystal system: tetragonal

Structure (POSCAR):
```
Li2SiSnS
1.0
5.132 0.000 0.000
0.000 5.132 0.000
0.000 0.000 5.016
Li Si Sn S
2 1 1 1
direct
0.000 0.500 0.000
0.500 0.000 0.000
0.000 0.000 0.500
0.000 0.000 0.000
0.500 0.500 0.500
```

(7)
CaLaOs | PBE | optimized geometry

Summary:
Total energy, eV per atom: -5.1900
Polymorph energy (0 for the lowest one), eV/atom: 0.783
Magnetic moment, μB/f.u.: 0.000
Crystal system: cubic
Formation energy, eV/f.u.: 2.59

Structure (POSCAR):
```
CaLaOs
1.0
0.000 3.401 3.401
3.401 0.000 3.401
3.401 3.401 0.000
Ca La Os
1 1 1
direct
0.000 0.000 0.000
0.750 0.750 0.750
0.500 0.500 0.500
```

(8)
TbCd11Ni | PBE | optimized geometry

Summary:
Total energy, eV per atom: -1.6468
Magnetic moment, μB/f.u.: 0.000
Crystal system: monoclinic
Formation energy, eV/f.u.: -0.93

Structure (POSCAR):
```
TbCd11Ni
1.0
2.856 -7.062 0.000
2.856 7.062 0.000
-2.780 0.000 6.998
Tb Cd Ni
1 11 1
direct
0.000 0.000 0.000
0.000 0.000 0.500
0.000 0.500 0.000
0.026 0.362 0.358
0.304 0.509 0.783
0.362 0.026 0.358
0.491 0.696 0.217
0.500 0.000 0.000
0.509 0.304 0.783
0.638 0.974 0.642
0.696 0.491 0.217
0.974 0.638 0.642
0.500 0.500 0.500
```

(9)
CdNiRu2 | PBE | optimized geometry

Summary:
Total energy, eV per atom: -5.9652
Magnetic moment, μB/f.u.: 0.000
Crystal system: tetragonal
Formation energy, eV/f.u.: 1.39

Structure (POSCAR):
```
CdNiRu2
1.0
2.939 0.000 0.000
0.000 2.939 0.000
0.000 0.000 6.876
Cd Ni Ru
1 1 2
direct
0.000 0.000 0.000
0.000 0.000 0.500
0.500 0.500 0.300
0.500 0.500 0.700
```

(10)
Pm2SnGe4 | PBE | optimized geometry

Summary:
Total energy, eV per atom: -4.9500
Magnetic moment, μB/f.u.: 0.000
Crystal system: tetragonal
Formation energy, eV/f.u.: -2.68

Structure (POSCAR):
```
Pm2SnGe4
1.0
4.115 0.000 0.000
0.000 4.115 0.000
0.000 0.000 10.099
Pm Sn Ge
2 1 4
direct
0.000 0.500 0.236
0.500 0.000 0.764
0.000 0.000 0.500
0.000 0.000 0.000
0.000 0.500 0.685
0.500 0.000 0.315
0.500 0.500 0.000
```

(11)
AlTl2PAu | PBE | optimized geometry

Summary:
Total energy, eV per atom: -2.8959
Polymorph energy (0 for the lowest one), eV/atom: 0.051
Magnetic moment, μB/f.u.: 0.000
Crystal system: tetragonal
Formation energy, eV/f.u.: 2.68

Structure (POSCAR):
```
AlTl2PAu
1.0
5.773 0.000 0.000
0.000 5.773 0.000
0.000 0.000 4.608
Al Tl P Au
1 2 1 1
direct
0.000 0.000 0.000
0.000 0.500 0.500
0.500 0.000 0.500
0.500 0.500 0.000
0.500 0.500 0.500
```

(12)
TaMoBr2N | PBE | optimized geometry

Summary:
Formation energy from raw total energies, eV/atom: 0.6712
Total energy, eV per atom: -6.1998
Magnetic moment, μB/f.u.: 4.209
Crystal system: tetragonal

Structure (POSCAR):
```
TaMoBr2N
1.0
5.394 0.000 0.000
0.000 5.394 0.000
0.000 0.000 3.917
Ta Mo Br N
1 1 2 1
direct
0.000 0.000 0.000
0.500 0.500 0.500
0.000 0.500 0.000
0.500 0.000 0.000
0.000 0.000 0.500
```

(13)
Sc3BH | PBE | optimized geometry

Summary:
Total energy, eV per atom: -5.7338
Polymorph energy (0 for the lowest one), eV/atom: 0.000
Magnetic moment, μB/f.u.: 1.787
Crystal system: cubic

Structure (POSCAR):
```
Sc3BH
1.0
4.174 0.000 0.000
0.000 4.174 0.000
0.000 0.000 4.174
Sc B H
3 1 1
direct
0.000 0.000 0.500
0.000 0.500 0.000
0.500 0.000 0.000
0.500 0.500 0.500
0.000 0.000 0.000
```